FeCuAg2: relaxed, GGA-PBE.

Cell lengths 9.7962, 9.7962, 9.7962 Å; angles 157.81, 157.81, 31.59 degrees
Sites, in units of the cell vectors:
Fe 0.0000 0.0000 0.0000
Fe 0.7500 0.2500 0.5000
Cu 0.2500 0.7500 0.5000
Cu 0.5000 0.5000 0.0000
Ag 0.1273 0.6250 0.0023
Ag 0.3750 0.3773 0.5023
Ag 0.6227 0.1250 0.9977
Ag 0.8750 0.8727 0.4977

Summary:
D(E_F) = 2.5 states/eV/f.u.
energy relative to the elements = 0.5977 eV per atom
spin magnetization = 6.3 μB per cell
energy relative to the lowest polymorph listed for this composition = 383 meV/atom